A plane-wave DFT calculation with PBE was carried out for a geometry-optimized Ce6CdIr2 structure.

The space group is C2/m (No. 12) and the conventional cell measures 10.537, 4.707 and 8.969 Å, with angles of 90.00, 93.90 and 90.00 degrees. The distinct sites, in fractional coordinates, are Ce at (0.066, 0.000, 0.362), Ce at (0.102, 0.500, 0.677), Ce at (0.206, 0.500, 0.090), Cd at (0.000, 0.000, 0.000) and Ir at (0.238, 0.500, 0.385).

The density of states at the Fermi level comes out at 2.14 states/eV/atom. The value obtained for the formation energy is -0.415 eV per atom.

A plane-wave DFT calculation with PBE was carried out for a geometry-optimized NdNpAg2O6 structure.

The space group is P2_1/c (No. 14) and the conventional cell measures 5.856, 5.979 and 10.271 Å, with angles of 90.00, 124.17 and 90.00 degrees. The distinct sites, in fractional coordinates, are Nd at (0.000, 0.000, 0.000), Np at (0.500, 0.000, 0.500), Ag at (0.253, 0.028, 0.754), O at (0.169, 0.046, 0.269), O at (0.263, 0.671, 0.053) and O at (0.393, 0.210, 0.056).

The formation energy without anion corrections comes out at -2.00 eV per atom.

A plane-wave DFT calculation with PBE was carried out for a geometry-optimized Sb2MoPb structure.

The space group is R3m (No. 160, hexagonal axes) and the conventional cell measures 3.3542, 3.3542 and 30.0647 Å, with angles of 90.00, 90.00 and 120.00 degrees. The distinct sites, in fractional coordinates, are Sb at (0.0000, 0.0000, 0.0000), Sb at (0.0000, 0.0000, 0.2348), Mo at (0.0000, 0.0000, 0.7312) and Pb at (0.0000, 0.0000, 0.4734).

The density of states at the Fermi level comes out at 0.78 states/eV/atom. The formation energy without anion corrections comes out at 0.35 eV per atom.

A plane-wave DFT calculation with PBE was carried out for a geometry-optimized Ag3MoP structure.

The space group is Pm-3m (No. 221) and the conventional cell measures 5.076, 5.076 and 5.076 Å, with angles of 90.00, 90.00 and 90.00 degrees. The distinct sites, in fractional coordinates, are Ag at (0.000, 0.000, 0.500), Mo at (0.000, 0.000, 0.000) and P at (0.500, 0.500, 0.500).

The density of states at the Fermi level comes out at 1.47 states/eV/atom. The value obtained for the formation energy is 1.948 eV per atom. The calculation puts the relative energy among the computed polymorphs at 986.0 meV/atom.

A plane-wave DFT calculation with PBE was carried out for a geometry-optimized EuCuBi structure.

The space group is P3m1 (No. 156) and the conventional cell measures 4.5779, 4.5779 and 4.4937 Å, with angles of 90.00, 90.00 and 120.00 degrees. The distinct sites, in fractional coordinates, are Eu at (0.0000, 0.0000, 0.0000), Cu at (0.3333, 0.6667, 0.5053) and Bi at (0.6667, 0.3333, 0.4992).

The density of states at the Fermi level comes out at 3.85 states/eV/atom. The value obtained for the formation energy is -0.474 eV per atom.

A plane-wave DFT calculation with PBE was carried out for a geometry-optimized Ni4AuSe structure.

The space group is F-43m (No. 216) and the conventional cell measures 6.871, 6.871 and 6.871 Å, with angles of 90.00, 90.00 and 90.00 degrees. The distinct sites, in fractional coordinates, are Ni at (0.125, 0.125, 0.125), Au at (0.250, 0.250, 0.750) and Se at (0.000, 0.000, 0.500).

The density of states at the Fermi level comes out at 1.20 states/eV/atom. The formation energy without anion corrections comes out at 0.27 eV per atom.

A plane-wave DFT calculation with PBE was carried out for a geometry-optimized Dy4NiHg3 structure.

The space group is P4/mmm (No. 123) and the conventional cell measures 3.585, 3.585 and 15.028 Å, with angles of 90.00, 90.00 and 90.00 degrees. The distinct sites, in fractional coordinates, are Dy at (0.000, 0.000, 0.107), Dy at (0.000, 0.000, 0.370), Ni at (0.500, 0.500, 0.000), Hg at (0.500, 0.500, 0.241) and Hg at (0.500, 0.500, 0.500).

The density of states at the Fermi level comes out at 0.79 states/eV/atom. The value obtained for the formation energy is -0.447 eV per atom.

A plane-wave DFT calculation with PBE was carried out for a geometry-optimized CaSbP2 structure.

The space group is P4/mmm (No. 123) and the conventional cell measures 3.759, 3.759 and 6.064 Å, with angles of 90.00, 90.00 and 90.00 degrees. The distinct sites, in fractional coordinates, are Ca at (0.000, 0.000, 0.000), Sb at (0.000, 0.000, 0.500) and P at (0.500, 0.500, 0.268).

The density of states at the Fermi level comes out at 0.45 states/eV/atom. The formation energy without anion corrections comes out at -0.12 eV per atom.

A plane-wave DFT calculation with PBE was carried out for a geometry-optimized Mn2TlFe structure.

The space group is P4/mmm (No. 123) and the conventional cell measures 4.028, 4.028 and 3.816 Å, with angles of 90.00, 90.00 and 90.00 degrees. The distinct sites, in fractional coordinates, are Mn at (0.000, 0.500, 0.000), Tl at (0.000, 0.000, 0.500) and Fe at (0.500, 0.500, 0.500).

The density of states at the Fermi level comes out at 0.90 states/eV/atom. The value obtained for the formation energy is 0.461 eV per atom. The calculation puts the relative energy among the computed polymorphs at 64.0 meV/atom.

A plane-wave DFT calculation with PBE was carried out for a geometry-optimized NbZnCd structure.

The space group is I4mm (No. 107) and the conventional cell measures 2.869, 2.869 and 12.991 Å, with angles of 90.00, 90.00 and 90.00 degrees. The distinct sites, in fractional coordinates, are Nb at (0.000, 0.000, 0.000), Zn at (0.000, 0.000, 0.654) and Cd at (0.000, 0.000, 0.321).

The density of states at the Fermi level comes out at 0.33 states/eV/atom. The value obtained for the formation energy is 0.045 eV per atom.

A plane-wave DFT calculation with PBE was carried out for a geometry-optimized Li2Mg3Cd7 structure.

The space group is P-1 (No. 2) and the conventional cell measures 4.811, 5.276 and 10.593 Å, with angles of 85.07, 89.94 and 89.95 degrees. The distinct sites, in fractional coordinates, are Li at (0.000, 0.126, 0.211), Mg at (0.000, 0.000, 0.500), Mg at (0.500, 0.446, 0.155), Cd at (0.000, 0.259, 0.949), Cd at (0.000, 0.419, 0.670), Cd at (0.500, 0.033, 0.681) and Cd at (0.500, 0.500, 0.500).

The density of states at the Fermi level comes out at 0.38 states/eV/atom. The value obtained for the formation energy is -0.049 eV per atom. The calculation puts the relative energy among the computed polymorphs at 36.1 meV/atom.

A plane-wave DFT calculation with PBE was carried out for a geometry-optimized AcTb4Th structure.

The space group is P-1 (No. 2) and the conventional cell measures 3.661, 7.404 and 7.948 Å, with angles of 76.42, 76.78 and 89.89 degrees. The distinct sites, in fractional coordinates, are Ac at (0.000, 0.000, 0.000), Tb at (0.333, 0.178, 0.335), Tb at (0.335, 0.656, 0.331) and Th at (0.000, 0.500, 0.000).

The density of states at the Fermi level comes out at 1.60 states/eV/atom. The value obtained for the formation energy is 0.060 eV per atom.